(1)
First-principles (PBEsol) data for a relaxed SbMoW2 crystal, as listed in Alexandria via LeMat-Bulk.

```
SbMoW2
1.0
-1.194 -0.897 3.540
-1.780 -3.108 -1.388
3.741 -2.431 0.645
Mo W Sb
1 2 1
Cartesian
0.383 -3.218 1.398 Mo
-0.597 -0.449 1.770 W
-0.890 -1.554 -0.694 W
1.870 -1.215 0.323 Sb
```

Results
E_tot = -41.676 eV per cell
space group = P4/mmm, No. 123

---

(2)
First-principles (PBEsol) data for a relaxed YSb2MoW crystal, as listed in Alexandria via LeMat-Bulk.

```
YSb2MoW
1.0
-2.167 -3.934 1.849
-0.498 -2.076 -5.001
4.841 -2.421 0.523
Sb Y Mo W
2 1 1 1
Cartesian
2.420 -1.210 0.262 Sb
-0.249 -1.038 -2.500 Sb
0.000 0.000 0.000 Y
1.088 -4.215 -1.315 Mo
-1.084 -1.967 0.924 W
```

Results
E_tot = -30.260 eV per cell
space group = P4/mmm, No. 123

---

Number 1: ΔE_f (raw) 0.566 eV/atom. Number 2: ΔE_f (raw) 2.251 eV/atom.